Entry 1:
Material: BaGa3Re
Method: DFT, GGA-PBE
State: relaxed

Structure (POSCAR):
```
BaGa3Re
1.0
6.927 0.000 0.000
0.000 6.927 0.000
0.000 0.000 4.969
Ga Ba Re
6 2 2
Direct
0.750 0.250 0.500
0.000 0.500 0.070
0.250 0.750 0.500
0.500 0.000 0.930
0.750 0.750 0.500
0.250 0.250 0.500
0.000 0.000 0.000
0.500 0.500 0.000
0.000 0.500 0.576
0.500 0.000 0.424
```

Results
The calculation puts the total magnetization at 0.00 Bohr magnetons per cell. For the calculated volume, the calculation gives 23.8 Å³/atom. For the total energy, the calculation gives -5.02 eV/atom. Its space-group type is P4/nmm, No. 129.



Entry 2:
Material: Ba2GaReS6
Method: DFT, GGA-PBE
State: relaxed

Structure (POSCAR):
```
Ba2GaReS6
1.0
-4.200 -5.198 -1.459
-1.037 -4.955 4.600
-6.038 -0.513 3.172
S Re Ba Ga
6 1 2 1
Direct
0.247 0.247 0.753
0.753 0.247 0.247
0.753 0.247 0.753
0.753 0.753 0.247
0.247 0.753 0.753
0.247 0.753 0.247
0.000 0.000 0.000
0.750 0.750 0.750
0.250 0.250 0.250
0.500 0.500 0.500
```

Results
The calculation puts the total magnetization at 1.13 Bohr magnetons per cell. For the calculated volume, the calculation gives 22.6 Å³/atom. For the total energy, the calculation gives -5.28 eV/atom. Its space-group type is Fm-3m, No. 225.



Entry 3:
Material: Ba2GaWS6
Method: DFT, GGA-PBE
State: relaxed

Structure (POSCAR):
```
Ba2GaWS6
1.0
5.958 -3.440 0.000
5.958 3.440 0.000
-3.972 0.000 5.617
S Ba W Ga
6 2 1 1
Direct
0.753 0.247 0.753
0.753 0.247 0.247
0.247 0.753 0.247
0.247 0.753 0.753
0.753 0.753 0.753
0.247 0.247 0.247
0.250 0.250 0.750
0.750 0.750 0.250
0.000 0.000 0.000
0.500 0.500 0.500
```

Results
The calculation puts the total magnetization at 0.02 Bohr magnetons per cell. For the calculated volume, the calculation gives 23.0 Å³/atom. For the total energy, the calculation gives -5.46 eV/atom. Its space-group type is Fm-3m, No. 225.



Entry 4:
Material: BaTbGaSe3
Method: DFT, GGA-PBE
State: relaxed

Structure (POSCAR):
```
BaTbGaSe3
1.0
2.115 -7.220 0.000
2.115 7.220 0.000
0.000 0.000 11.782
Se Tb Ba Ga
6 2 2 2
Direct
0.134 0.866 0.989
0.866 0.134 0.011
0.481 0.519 0.750
0.519 0.481 0.250
0.134 0.866 0.511
0.866 0.134 0.489
0.500 0.500 0.000
0.500 0.500 0.500
0.208 0.792 0.250
0.792 0.208 0.750
0.899 0.101 0.250
0.101 0.899 0.750
```

Results
The calculation puts the total magnetization at 0.00 Bohr magnetons per cell. For the calculated volume, the calculation gives 30.0 Å³/atom. For the total energy, the calculation gives -4.71 eV/atom. Its space-group type is Cmcm, No. 63.



Entry 5:
Material: BaTmGaSe3
Method: DFT, GGA-PBE
State: relaxed

Structure (POSCAR):
```
BaTmGaSe3
1.0
2.078 -7.252 0.000
2.078 7.252 0.000
0.000 0.000 11.704
Se Ba Tm Ga
6 2 2 2
Direct
0.015 0.985 0.250
0.369 0.631 0.008
0.985 0.015 0.750
0.631 0.369 0.508
0.369 0.631 0.492
0.631 0.369 0.992
0.707 0.293 0.250
0.293 0.707 0.750
0.000 0.000 0.500
0.000 0.000 0.000
0.605 0.395 0.750
0.395 0.605 0.250
```

Results
The calculation puts the total magnetization at 0.00 Bohr magnetons per cell. For the calculated volume, the calculation gives 29.4 Å³/atom. For the total energy, the calculation gives -4.68 eV/atom. Its space-group type is Cmcm, No. 63.



Entry 6:
Material: BaSmGa
Method: DFT, GGA-PBE
State: relaxed

Structure (POSCAR):
```
BaSmGa
1.0
1.717 -4.693 1.625
-3.432 -3.856 0.985
-0.277 -4.154 -3.207
Ga Sm Ba
1 1 1
Direct
0.750 0.750 0.750
0.000 0.000 0.000
0.250 0.250 0.250
```

Results
The calculation puts the total magnetization at 0.00 Bohr magnetons per cell. As for the excess energy over the best structure of this formula in the dataset: 0.0 meV/atom. For the calculated volume, the calculation gives 34.2 Å³/atom. Its space-group type is F-43m, No. 216.



Entry 7:
Material: BaTaGa
Method: DFT, GGA-PBE
State: relaxed

Structure (POSCAR):
```
BaTaGa
1.0
0.000 3.544 3.544
3.544 0.000 3.544
3.544 3.544 0.000
Ta Ga Ba
1 1 1
Direct
0.750 0.750 0.750
0.000 0.000 0.000
0.250 0.250 0.250
```

Results
The calculation puts the total magnetization at 2.08 Bohr magnetons per cell. As for the excess energy over the best structure of this formula in the dataset: 0.0 meV/atom. For the calculated volume, the calculation gives 29.7 Å³/atom. Its space-group type is F-43m, No. 216.



Entry 8:
Material: BaTbGaTe3
Method: DFT, GGA-PBE
State: relaxed

Structure (POSCAR):
```
BaTbGaTe3
1.0
4.407 6.326 2.092
-6.357 -4.530 1.696
6.703 -6.890 6.719
Te Ba Tb Ga
6 2 2 2
Direct
0.413 0.587 0.250
0.587 0.413 0.750
0.141 0.859 0.035
0.859 0.141 0.965
0.141 0.859 0.465
0.859 0.141 0.535
0.739 0.261 0.250
0.261 0.739 0.750
0.500 0.500 0.000
0.500 0.500 0.500
0.969 0.031 0.750
0.031 0.969 0.250
```

Results
The calculation puts the total magnetization at 0.00 Bohr magnetons per cell. For the calculated volume, the calculation gives 34.6 Å³/atom. For the total energy, the calculation gives -4.24 eV/atom. Its space-group type is Cmcm, No. 63.